# Tb5Ce2Ho12, optimized geometry, DFT PBE
# * DOS(E_F): 29.87 states/eV/f.u.
# * energy relative to the lowest polymorph listed for this composition: 38 meV per atom
# * calculated formation energy: 2.7 eV per formula unit
# * DFT total energy: -4.593 eV per atom
# * crystal system: monoclinic
data_Tb5Ce2Ho12
_cell_length_a 15.4200
_cell_length_b 9.1587
_cell_length_c 8.5686
_cell_angle_alpha 90.00
_cell_angle_beta 92.61
_cell_angle_gamma 90.00
_space_group_name_H-M_alt 'C 1 2/m 1'
_space_group_IT_number 12
loop_
_space_group_symop_operation_xyz
'x,y,z'
'-x,-y,-z'
'-x,y,-z'
'x,-y,z'
'x+1/2,y+1/2,z'
'-x+1/2,-y+1/2,-z'
'-x+1/2,y+1/2,-z'
'x+1/2,-y+1/2,z'
loop_
_atom_site_label
_atom_site_type_symbol
_atom_site_fract_x
_atom_site_fract_y
_atom_site_fract_z
Tb1 Tb 0.0000 0.0000 0.0000
Tb2 Tb 0.2143 0.5000 0.5379
Tb3 Tb 0.2311 0.0000 0.0649
Ce1 Ce 0.0000 0.3509 0.5000
Ho1 Ho 0.0591 0.5000 0.8426
Ho2 Ho 0.0677 0.0000 0.3721
Ho3 Ho 0.1325 0.3084 0.1850
Ho4 Ho 0.1451 0.1792 0.7383


# Tb3CeHo8, optimized geometry, DFT PBE
# * DOS(E_F): 17.30 states/eV/f.u.
# * calculated formation energy: 9.3 eV per formula unit
# * DFT total energy: -3.932 eV per atom
# * crystal system: tetragonal
data_Tb3CeHo8
_cell_length_a 7.6254
_cell_length_b 7.6254
_cell_length_c 15.2951
_cell_angle_alpha 90.00
_cell_angle_beta 90.00
_cell_angle_gamma 90.00
_space_group_name_H-M_alt 'I 4/m m m'
_space_group_IT_number 139
_space_group_name_Hall '-I 4 2'
loop_
_atom_site_label
_atom_site_type_symbol
_atom_site_fract_x
_atom_site_fract_y
_atom_site_fract_z
Tb1 Tb 0.0000 0.0000 0.0000
Tb2 Tb 0.0000 0.5000 0.2500
Ce1 Ce 0.0000 0.0000 0.5000
Ho1 Ho 0.2476 0.2476 0.3763


# Tb6CeHo3, optimized geometry, DFT PBE
# * DOS(E_F): 19.90 states/eV/f.u.
# * energy relative to the lowest polymorph listed for this composition: 198 meV per atom
# * calculated formation energy: 3.6 eV per formula unit
# * DFT total energy: -4.385 eV per atom
# * crystal system: monoclinic
data_Tb6CeHo3
_cell_length_a 14.0432
_cell_length_b 6.4665
_cell_length_c 8.8751
_cell_angle_alpha 90.00
_cell_angle_beta 123.26
_cell_angle_gamma 90.00
_space_group_name_H-M_alt 'C 1 2/m 1'
_space_group_IT_number 12
loop_
_space_group_symop_operation_xyz
'x,y,z'
'-x,-y,-z'
'-x,y,-z'
'x,-y,z'
'x+1/2,y+1/2,z'
'-x+1/2,-y+1/2,-z'
'-x+1/2,y+1/2,-z'
'x+1/2,-y+1/2,z'
loop_
_atom_site_label
_atom_site_type_symbol
_atom_site_fract_x
_atom_site_fract_y
_atom_site_fract_z
Tb1 Tb 0.2093 0.0000 0.4501
Tb2 Tb 0.2467 0.2591 0.1734
Ce1 Ce 0.0000 0.0000 0.0000
Ho1 Ho 0.0000 0.0000 0.5000
Ho2 Ho 0.0065 0.5000 0.2253